Density functional theory data (GGA-PBE) for crystalline LiEuPt2 at its relaxed geometry.

Output
Total energy (eV/atom): -6.710
SG: P4/mmm (123)

Lattice parameters (Å, degrees): 4.228 4.228 4.091 90.00 90.00 90.00
Fractional positions:
Li 0.000 0.000 0.000
Eu 0.500 0.500 0.000
Pt 0.000 0.500 0.500
Pt 0.500 0.000 0.500

***

Density functional theory data (GGA-PBE) for crystalline CoCu2AgN at its relaxed geometry.

Output
Total energy (eV/atom): -5.112
SG: P4/mmm (123)

Lattice parameters (Å, degrees): 3.997 3.997 3.697 90.00 90.00 90.00
Fractional positions:
Co 0.000 0.000 0.000
Cu 0.000 0.500 0.500
Cu 0.500 0.000 0.500
Ag 0.500 0.500 0.000
N 0.000 0.000 0.500

***

Density functional theory data (GGA-PBE) for crystalline Rb2SrYBr6 at its relaxed geometry.

Output
Total energy (eV/atom): -3.750
SG: Fm-3m (225)

Lattice parameters (Å, degrees): 8.274 8.274 8.274 60.00 60.00 60.00
Fractional positions:
Rb 0.250 0.250 0.250
Rb 0.750 0.750 0.750
Sr 0.000 0.000 0.000
Y 0.500 0.500 0.500
Br 0.257 0.257 0.743
Br 0.257 0.743 0.257
Br 0.257 0.743 0.743
Br 0.743 0.257 0.257
Br 0.743 0.257 0.743
Br 0.743 0.743 0.257

***

Density functional theory data (GGA-PBE) for crystalline SrBe2Tl2 at its relaxed geometry.

Output
Total energy (eV/atom): -2.619
SG: I4/mmm (139)

Lattice parameters (Å, degrees): 4.433 4.433 11.199 90.00 90.00 90.00
Fractional positions:
Sr 0.000 0.000 0.000
Sr 0.500 0.500 0.500
Be 0.000 0.500 0.250
Be 0.000 0.500 0.750
Be 0.500 0.000 0.250
Be 0.500 0.000 0.750
Tl 0.000 0.000 0.362
Tl 0.000 0.000 0.638
Tl 0.500 0.500 0.138
Tl 0.500 0.500 0.862

***

Density functional theory data (GGA-PBE) for crystalline Nb3Se4S2 at its relaxed geometry.

Output
Total energy (eV/atom): -6.728
SG: P-6m2 (187)

Lattice parameters (Å, degrees): 3.439 3.439 25.808 90.00 90.00 120.00
Fractional positions:
Nb 0.000 0.000 0.000
Nb 0.333 0.667 0.262
Nb 0.333 0.667 0.738
Se 0.000 0.000 0.197
Se 0.000 0.000 0.328
Se 0.000 0.000 0.672
Se 0.000 0.000 0.803
S 0.333 0.667 0.060
S 0.333 0.667 0.940

***

Density functional theory data (GGA-PBE) for crystalline GaAsBr2Cl at its relaxed geometry.

Output
Distance to the lowest polymorph of the same formula (meV/atom): 0
SG: P4/mmm (123)

Lattice parameters (Å, degrees): 5.003 5.003 5.463 90.00 90.00 90.00
Fractional positions:
Ga 0.000 0.000 0.000
As 0.000 0.000 0.500
Br 0.000 0.500 0.000
Br 0.500 0.000 0.000
Cl 0.500 0.500 0.500

***

| no. | DOS(E_F) (states/eV/cell) | magnetic moment (μB/cell) |
| --- | --- | --- |
| 1 | 12.46 | 6.68 |
| 2 | 2.41 | 0.90 |
| 3 | 6.10 | 0.85 |
| 4 | 3.42 | 0.00 |
| 5 | 8.64 | 0.46 |
| 6 | 2.36 | 0.84 |